[1]
The following is a PBE calculation of a geometry-optimized Mn2ZnAu6 structure, from Alexandria.

Electronic total energy (eV per atom): -4.31
M_tot (Bohr magnetons per cell): 8.7
Density (g cm⁻³): 12.791
SG: C2/m
Relative energy among the computed polymorphs (meV/atom): 165
D(E_F) (states/eV per cell): 2.42

Cell: 7.5534 7.5534 4.4119 Å, 105.86 105.86 47.16°
Sites, in units of the cell vectors:
Mn1 0.1675 0.1675 0.1677
Mn2 0.8325 0.8325 0.8323
Zn1 0.5000 0.5000 0.5000
Au1 0.0864 0.5838 0.3346
Au2 0.2520 0.7480 0.0000
Au3 0.4162 0.9136 0.6654
Au4 0.5838 0.0864 0.3346
Au5 0.7480 0.2520 0.0000
Au6 0.9136 0.4162 0.6654

***

[2]
The following is a PBE calculation of a geometry-optimized MnZn4Au2 structure, from Alexandria.

Electronic total energy (eV per atom): -3.03
M_tot (Bohr magnetons per cell): 3.6
Density (g cm⁻³): 10.218
SG: C2/m
D(E_F) (states/eV per cell): 3.79

Cell: 5.4163 5.4163 3.9723 Å, 90.20 90.20 97.73°
Sites, in units of the cell vectors:
Mn1 0.0000 0.0000 0.0000
Zn1 0.0000 0.5000 0.0000
Zn2 0.2245 0.7755 0.5000
Zn3 0.5000 0.0000 0.0000
Zn4 0.7755 0.2245 0.5000
Au1 0.2911 0.2911 0.4983
Au2 0.7089 0.7089 0.5017

***

[3]
The following is a PBE calculation of a geometry-optimized Mn2Zn2Au structure, from Alexandria.

Electronic total energy (eV per atom): -4.64
M_tot (Bohr magnetons per cell): 13.4
Density (g cm⁻³): 9.475
SG: P4/mbm
Relative energy among the computed polymorphs (meV/atom): 113
D(E_F) (states/eV per cell): 8.31

Cell: 7.4506 7.4506 2.7635 Å, 90.00 90.00 90.00°
Sites, in units of the cell vectors:
Mn1 0.1241 0.3759 0.0000
Mn2 0.3759 0.8759 0.0000
Mn3 0.6241 0.1241 0.0000
Mn4 0.8759 0.6241 0.0000
Zn1 0.1719 0.6719 0.5000
Zn2 0.3281 0.1719 0.5000
Zn3 0.6719 0.8281 0.5000
Zn4 0.8281 0.3281 0.5000
Au1 0.0000 0.0000 0.0000
Au2 0.5000 0.5000 0.0000

***

[4]
The following is a PBE calculation of a geometry-optimized MnZn3Au structure, from Alexandria.

Electronic total energy (eV per atom): -3.28
M_tot (Bohr magnetons per cell): 13.9
Density (g cm⁻³): 9.561
SG: Pnma
Relative energy among the computed polymorphs (meV/atom): 19
D(E_F) (states/eV per cell): 7.98

Cell: 8.9329 2.8556 12.2049 Å, 90.00 90.00 90.00°
Sites, in units of the cell vectors:
Mn1 0.1359 0.2500 0.0297
Mn2 0.3641 0.7500 0.5297
Mn3 0.6359 0.2500 0.4703
Mn4 0.8641 0.7500 0.9703
Zn1 0.1148 0.7500 0.8442
Zn2 0.1178 0.7500 0.2310
Zn3 0.1221 0.2500 0.4284
Zn4 0.3779 0.7500 0.9284
Zn5 0.3822 0.2500 0.7310
Zn6 0.3852 0.2500 0.3442
Zn7 0.6148 0.7500 0.6558
Zn8 0.6178 0.7500 0.2690
Zn9 0.6221 0.2500 0.0716
Zn10 0.8779 0.7500 0.5716
Zn11 0.8822 0.2500 0.7690
Zn12 0.8852 0.2500 0.1558
Au1 0.1235 0.2500 0.6424
Au2 0.3765 0.7500 0.1424
Au3 0.6235 0.2500 0.8576
Au4 0.8765 0.7500 0.3576

***

[5]
The following is a PBE calculation of a geometry-optimized MnZn4Au7 structure, from Alexandria.

Electronic total energy (eV per atom): -3.13
M_tot (Bohr magnetons per cell): 4.3
Density (g cm⁻³): 12.690
SG: C2/m
D(E_F) (states/eV per cell): 3.84

Cell: 6.0424 6.0424 9.4989 Å, 118.37 118.37 48.55°
Sites, in units of the cell vectors:
Mn1 0.0000 0.0000 0.0000
Zn1 0.2709 0.2709 0.6719
Zn2 0.4155 0.4155 0.2222
Zn3 0.5845 0.5845 0.7778
Zn4 0.7291 0.7291 0.3281
Au1 0.0758 0.0758 0.3245
Au2 0.2096 0.2096 0.9030
Au3 0.3623 0.3623 0.4608
Au4 0.5000 0.5000 0.0000
Au5 0.6377 0.6377 0.5392
Au6 0.7904 0.7904 0.0970
Au7 0.9242 0.9242 0.6755

***

[6]
The following is a PBE calculation of a geometry-optimized Mn2ZnAu6 structure, from Alexandria.

Electronic total energy (eV per atom): -4.48
M_tot (Bohr magnetons per cell): 16.9
Density (g cm⁻³): 14.802
SG: P4_2/mnm
Relative energy among the computed polymorphs (meV/atom): 0
D(E_F) (states/eV per cell): 5.24

Cell: 8.4751 8.4751 4.2392 Å, 90.00 90.00 90.00°
Sites, in units of the cell vectors:
Mn1 0.1879 0.1879 0.0000
Mn2 0.3121 0.6879 0.5000
Mn3 0.6879 0.3121 0.5000
Mn4 0.8121 0.8121 0.0000
Zn1 0.0000 0.0000 0.5000
Zn2 0.5000 0.5000 0.0000
Au1 0.0183 0.3242 0.5000
Au2 0.1403 0.8597 0.0000
Au3 0.1758 0.5183 0.0000
Au4 0.3242 0.0183 0.5000
Au5 0.3597 0.3597 0.5000
Au6 0.4817 0.8242 0.0000
Au7 0.5183 0.1758 0.0000
Au8 0.6403 0.6403 0.5000
Au9 0.6758 0.9817 0.5000
Au10 0.8242 0.4817 0.0000
Au11 0.8597 0.1403 0.0000
Au12 0.9817 0.6758 0.5000

***

[7]
The following is a PBE calculation of a geometry-optimized MnZnAu5 structure, from Alexandria.

Electronic total energy (eV per atom): -3.83
M_tot (Bohr magnetons per cell): 8.5
Density (g cm⁻³): 13.667
SG: Imma
Relative energy among the computed polymorphs (meV/atom): 55
D(E_F) (states/eV per cell): 4.97

Cell: 7.4728 7.4728 7.4728 Å, 132.47 114.55 84.80°
Sites, in units of the cell vectors:
Mn1 0.4948 0.2448 0.2500
Mn2 0.5052 0.7552 0.7500
Zn1 0.0000 0.0000 0.5000
Zn2 0.0000 0.5000 0.0000
Au1 0.1518 0.3817 0.2893
Au2 0.1518 0.8625 0.7701
Au3 0.2129 0.9629 0.2500
Au4 0.4076 0.1375 0.7893
Au5 0.4076 0.6183 0.2701
Au6 0.5924 0.3817 0.7299
Au7 0.5924 0.8625 0.2107
Au8 0.7871 0.0371 0.7500
Au9 0.8482 0.1375 0.2299
Au10 0.8482 0.6183 0.7107

***

[8]
The following is a PBE calculation of a geometry-optimized MnZn2Au6 structure, from Alexandria.

Electronic total energy (eV per atom): -3.59
M_tot (Bohr magnetons per cell): 8.6
Density (g cm⁻³): 14.731
SG: C2/c
Relative energy among the computed polymorphs (meV/atom): 0
D(E_F) (states/eV per cell): 4.71

Cell: 8.0537 8.0537 4.9975 Å, 95.82 95.82 73.51°
Sites, in units of the cell vectors:
Mn1 0.1216 0.8784 0.7500
Mn2 0.8784 0.1216 0.2500
Zn1 0.2107 0.4599 0.9160
Zn2 0.4599 0.2107 0.4160
Zn3 0.5401 0.7893 0.5840
Zn4 0.7893 0.5401 0.0840
Au1 0.0132 0.7636 0.2002
Au2 0.0918 0.3529 0.3352
Au3 0.2364 0.9868 0.2998
Au4 0.3176 0.5692 0.4839
Au5 0.3529 0.0918 0.8352
Au6 0.4308 0.6824 0.0161
Au7 0.5692 0.3176 0.9839
Au8 0.6471 0.9082 0.1648
Au9 0.6824 0.4308 0.5161
Au10 0.7636 0.0132 0.7002
Au11 0.9082 0.6471 0.6648
Au12 0.9868 0.2364 0.7998

***

[9]
The following is a PBE calculation of a geometry-optimized MnZnAu6 structure, from Alexandria.

Electronic total energy (eV per atom): -3.86
M_tot (Bohr magnetons per cell): 4.3
Density (g cm⁻³): 15.637
SG: C2/m
Relative energy among the computed polymorphs (meV/atom): 0
D(E_F) (states/eV per cell): 2.75

Cell: 5.0608 5.0608 8.3966 Å, 114.13 114.13 45.85°
Sites, in units of the cell vectors:
Mn1 0.0000 0.0000 0.0000
Zn1 0.0000 0.0000 0.5000
Au1 0.2571 0.2571 0.8808
Au2 0.2576 0.2576 0.3767
Au3 0.4978 0.4978 0.7480
Au4 0.5022 0.5022 0.2520
Au5 0.7425 0.7425 0.6233
Au6 0.7429 0.7429 0.1192

***

[10]
The following is a PBE calculation of a geometry-optimized Mn2Zn2Au structure, from Alexandria.

Electronic total energy (eV per atom): -4.75
M_tot (Bohr magnetons per cell): 14.4
Density (g cm⁻³): 9.455
SG: P4/mbm
Relative energy among the computed polymorphs (meV/atom): 0
D(E_F) (states/eV per cell): 6.06

Cell: 6.8385 6.8385 3.2873 Å, 90.00 90.00 90.00°
Sites, in units of the cell vectors:
Mn1 0.1642 0.3358 0.0000
Mn2 0.3358 0.8358 0.0000
Mn3 0.6642 0.1642 0.0000
Mn4 0.8358 0.6642 0.0000
Zn1 0.1318 0.6318 0.5000
Zn2 0.3682 0.1318 0.5000
Zn3 0.6318 0.8682 0.5000
Zn4 0.8682 0.3682 0.5000
Au1 0.0000 0.0000 0.5000
Au2 0.5000 0.5000 0.5000

***

[11]
The following is a PBE calculation of a geometry-optimized MnZn2Au8 structure, from Alexandria.

Electronic total energy (eV per atom): -3.56
M_tot (Bohr magnetons per cell): 4.4
Density (g cm⁻³): 15.480
SG: C2/m
D(E_F) (states/eV per cell): 3.33

Cell: 7.5122 7.5122 6.6097 Å, 108.53 108.53 32.47°
Sites, in units of the cell vectors:
Mn1 0.0000 0.0000 0.0000
Zn1 0.2794 0.2794 0.3513
Zn2 0.7206 0.7206 0.6487
Au1 0.1018 0.1018 0.4550
Au2 0.1778 0.1778 0.9215
Au3 0.3554 0.3554 0.7982
Au4 0.4574 0.4574 0.2677
Au5 0.5426 0.5426 0.7323
Au6 0.6446 0.6446 0.2018
Au7 0.8222 0.8222 0.0785
Au8 0.8982 0.8982 0.5450

***

[12]
The following is a PBE calculation of a geometry-optimized Mn2ZnAu structure, from Alexandria.

Electronic total energy (eV per atom): -5.66
M_tot (Bohr magnetons per cell): 7.3
Density (g cm⁻³): 10.084
SG: Cmmm
D(E_F) (states/eV per cell): 2.83

Cell: 4.6839 4.6839 2.9078 Å, 90.00 90.00 106.09°
Sites, in units of the cell vectors:
Mn1 0.0000 0.5000 0.0000
Mn2 0.5000 0.0000 0.0000
Zn1 0.0000 0.0000 0.5000
Au1 0.5000 0.5000 0.5000

***

[13]
The following is a PBE calculation of a geometry-optimized MnZn8Au2 structure, from Alexandria.

Electronic total energy (eV per atom): -2.45
M_tot (Bohr magnetons per cell): 2.9
Density (g cm⁻³): 9.416
SG: Immm
Relative energy among the computed polymorphs (meV/atom): 0
D(E_F) (states/eV per cell): 2.76

Cell: 6.9501 6.9501 6.9501 Å, 144.08 117.40 74.34°
Sites, in units of the cell vectors:
Mn1 0.0000 0.0000 0.0000
Zn1 0.1441 0.6441 0.5000
Zn2 0.1610 0.8632 0.2978
Zn3 0.2973 0.5000 0.7973
Zn4 0.4346 0.1368 0.2978
Zn5 0.5654 0.8632 0.7022
Zn6 0.7027 0.5000 0.2027
Zn7 0.8390 0.1368 0.7022
Zn8 0.8559 0.3559 0.5000
Au1 0.2892 0.2892 0.0000
Au2 0.7108 0.7108 0.0000

***

[14]
The following is a PBE calculation of a geometry-optimized Mn2Zn3Au8 structure, from Alexandria.

Electronic total energy (eV per atom): -3.75
M_tot (Bohr magnetons per cell): 8.0
Density (g cm⁻³): 12.863
SG: C2/m
D(E_F) (states/eV per cell): 5.01

Cell: 7.3007 7.3007 4.6361 Å, 90.04 90.04 79.46°
Sites, in units of the cell vectors:
Mn1 0.2477 0.2477 0.9996
Mn2 0.7523 0.7523 0.0004
Zn1 0.2449 0.7551 0.5000
Zn2 0.5000 0.5000 0.0000
Zn3 0.7551 0.2449 0.5000
Au1 0.1204 0.6286 0.9997
Au2 0.1240 0.1240 0.4993
Au3 0.3714 0.8796 0.0003
Au4 0.3731 0.3731 0.4998
Au5 0.6269 0.6269 0.5002
Au6 0.6286 0.1204 0.9997
Au7 0.8760 0.8760 0.5007
Au8 0.8796 0.3714 0.0003

***

[15]
The following is a PBE calculation of a geometry-optimized Mn3ZnAu structure, from Alexandria.

Electronic total energy (eV per atom): -5.52
M_tot (Bohr magnetons per cell): 11.8
Density (g cm⁻³): 7.380
SG: Pm-3m
Relative energy among the computed polymorphs (meV/atom): 0
D(E_F) (states/eV per cell): 4.66

Cell: 4.5807 4.5807 4.5807 Å, 90.00 90.00 90.00°
Sites, in units of the cell vectors:
Mn1 0.0000 0.0000 0.5000
Mn2 0.0000 0.5000 0.0000
Mn3 0.5000 0.0000 0.0000
Zn1 0.0000 0.0000 0.0000
Au1 0.5000 0.5000 0.5000

***

[16]
The following is a PBE calculation of a geometry-optimized MnZn6Au structure, from Alexandria.

Electronic total energy (eV per atom): -2.57
M_tot (Bohr magnetons per cell): 3.1
Density (g cm⁻³): 9.053
SG: P4/mmm
D(E_F) (states/eV per cell): 2.49

Cell: 3.9770 3.9770 7.4724 Å, 90.00 90.00 90.00°
Sites, in units of the cell vectors:
Mn1 0.0000 0.0000 0.0000
Zn1 0.0000 0.5000 0.2390
Zn2 0.0000 0.5000 0.7610
Zn3 0.5000 0.0000 0.2390
Zn4 0.5000 0.0000 0.7610
Zn5 0.5000 0.5000 0.0000
Zn6 0.5000 0.5000 0.5000
Au1 0.0000 0.0000 0.5000

***

[17]
The following is a PBE calculation of a geometry-optimized Mn2Zn6Au structure, from Alexandria.

Electronic total energy (eV per atom): -3.22
M_tot (Bohr magnetons per cell): 6.0
Density (g cm⁻³): 8.657
SG: Immm
D(E_F) (states/eV per cell): 4.41

Cell: 7.6688 7.6688 7.6688 Å, 159.23 122.53 61.79°
Sites, in units of the cell vectors:
Mn1 0.1505 0.1505 0.0000
Mn2 0.8495 0.8495 0.0000
Zn1 0.1493 0.3263 0.8230
Zn2 0.1693 0.5000 0.6693
Zn3 0.4967 0.6737 0.8230
Zn4 0.5033 0.3263 0.1770
Zn5 0.8307 0.5000 0.3307
Zn6 0.8507 0.6737 0.1770
Au1 0.5000 0.0000 0.5000

***

[18]
The following is a PBE calculation of a geometry-optimized MnZnAu structure, from Alexandria.

Electronic total energy (eV per atom): -4.60
M_tot (Bohr magnetons per cell): 3.9
Density (g cm⁻³): 10.862
SG: P-6m2
D(E_F) (states/eV per cell): 1.36

Cell: 4.4124 4.4124 2.8770 Å, 90.00 90.00 120.00°
Sites, in units of the cell vectors:
Mn1 0.0000 0.0000 0.0000
Zn1 0.3333 0.6667 0.5000
Au1 0.6667 0.3333 0.5000

***

[19]
The following is a PBE calculation of a geometry-optimized Mn2ZnAu structure, from Alexandria.

Electronic total energy (eV per atom): -5.64
M_tot (Bohr magnetons per cell): 7.3
Density (g cm⁻³): 10.183
SG: I-4m2
D(E_F) (states/eV per cell): 3.17

Cell: 4.8710 4.8710 4.8710 Å, 133.00 133.00 68.65°
Sites, in units of the cell vectors:
Mn1 0.0000 0.0000 0.0000
Mn2 0.7500 0.2500 0.5000
Zn1 0.2500 0.7500 0.5000
Au1 0.5000 0.5000 0.0000

***

[20]
The following is a PBE calculation of a geometry-optimized MnZn3Au structure, from Alexandria.

Electronic total energy (eV per atom): -3.30
M_tot (Bohr magnetons per cell): 7.5
Density (g cm⁻³): 9.789
SG: Cmcm
Relative energy among the computed polymorphs (meV/atom): 0
D(E_F) (states/eV per cell): 3.86

Cell: 9.2147 9.2147 4.1197 Å, 90.00 90.00 154.24°
Sites, in units of the cell vectors:
Mn1 0.1486 0.8514 0.7500
Mn2 0.8514 0.1486 0.2500
Zn1 0.0471 0.9529 0.2500
Zn2 0.2502 0.7498 0.2500
Zn3 0.4488 0.5512 0.2500
Zn4 0.5512 0.4488 0.7500
Zn5 0.7498 0.2502 0.7500
Zn6 0.9529 0.0471 0.7500
Au1 0.3483 0.6517 0.7500
Au2 0.6517 0.3483 0.2500